one) # Pm4Se3O2 PBE optimized geometry
data_Pm4Se3O2
_cell_length_a 8.0755
_cell_length_b 8.0755
_cell_length_c 6.5228
_cell_angle_alpha 91.03
_cell_angle_beta 91.03
_cell_angle_gamma 76.34
_symmetry_space_group_name_H-M 'P 1'
_symmetry_Int_Tables_number 1
_symmetry_space_group_name_Hall 'P 1'
loop_
_atom_site_label
_atom_site_fract_x
_atom_site_fract_y
_atom_site_fract_z
Pm1 0.0678 0.7000 0.9723
Pm2 0.2623 0.4161 0.4208
Pm3 0.3000 0.9322 0.5277
Pm4 0.4161 0.2623 0.9208
Pm5 0.5839 0.7377 0.0792
Pm6 0.7000 0.0678 0.4723
Pm7 0.7377 0.5839 0.5792
Pm8 0.9322 0.3000 0.0277
Se1 0.0065 0.7564 0.4579
Se2 0.2436 0.9935 0.0421
Se3 0.3945 0.6055 0.7500
Se4 0.6055 0.3945 0.2500
Se5 0.7564 0.0065 0.9579
Se6 0.9935 0.2436 0.5421
O1 0.1678 0.4197 0.0856
O2 0.4197 0.1678 0.5856
O3 0.5803 0.8322 0.4144
O4 0.8322 0.5803 0.9144
# - SG: C2/c
# - Calculated volume: 413.23 Å³/cell

=====

two) # Pm4Se3O2 PBE optimized geometry
data_Pm4Se3O2
_cell_length_a 6.8722
_cell_length_b 6.8722
_cell_length_c 9.0132
_cell_angle_alpha 120.64
_cell_angle_beta 120.64
_cell_angle_gamma 33.77
_symmetry_space_group_name_H-M 'P 1'
_symmetry_Int_Tables_number 1
_symmetry_space_group_name_Hall 'P 1'
loop_
_atom_site_label
_atom_site_fract_x
_atom_site_fract_y
_atom_site_fract_z
Pm1 0.1094 0.1094 0.4002
Pm2 0.3168 0.3168 0.8950
Pm3 0.6832 0.6832 0.1050
Pm4 0.8906 0.8906 0.5998
Se1 0.0000 0.0000 0.0000
Se2 0.3855 0.3855 0.2815
Se3 0.6145 0.6145 0.7185
O1 0.3116 0.3116 0.6299
O2 0.6884 0.6884 0.3701
# - SG: C2/m
# - Calculated volume: 200.25 Å³/cell

=====

Relative energy table, unit eV/atom: one) 0.037; two) 0.000

=====

one) # Pm3Se2O2 PBE optimized geometry
data_Pm3Se2O2
_cell_length_a 3.6922
_cell_length_b 6.1890
_cell_length_c 7.2111
_cell_angle_alpha 98.31
_cell_angle_beta 90.01
_cell_angle_gamma 107.23
_symmetry_space_group_name_H-M 'P 1'
_symmetry_Int_Tables_number 1
_symmetry_space_group_name_Hall 'P 1'
loop_
_atom_site_label
_atom_site_fract_x
_atom_site_fract_y
_atom_site_fract_z
Pm1 0.0000 0.0000 0.0000
Pm2 0.2288 0.4568 0.7709
Pm3 0.7712 0.5432 0.2291
Se1 0.1166 0.2314 0.3739
Se2 0.8834 0.7686 0.6261
O1 0.3629 0.7257 0.0615
O2 0.6371 0.2743 0.9385
# - SG: P-1
# - Calculated volume: 155.58 Å³/cell

=====

two) # Pm3Se2O2 PBE optimized geometry
data_Pm3Se2O2
_cell_length_a 7.9458
_cell_length_b 7.9458
_cell_length_c 11.6246
_cell_angle_alpha 120.47
_cell_angle_beta 120.47
_cell_angle_gamma 28.72
_symmetry_space_group_name_H-M 'P 1'
_symmetry_Int_Tables_number 1
_symmetry_space_group_name_Hall 'P 1'
loop_
_atom_site_label
_atom_site_fract_x
_atom_site_fract_y
_atom_site_fract_z
Pm1 0.0936 0.0936 0.1684
Pm2 0.1330 0.1330 0.7815
Pm3 0.4023 0.4023 0.5432
Pm4 0.5977 0.5977 0.4568
Pm5 0.8670 0.8670 0.2185
Pm6 0.9064 0.9064 0.8316
Se1 0.2571 0.2571 0.6503
Se2 0.3940 0.3940 0.0307
Se3 0.6060 0.6060 0.9693
Se4 0.7429 0.7429 0.3497
O1 0.0436 0.0436 0.3243
O2 0.4210 0.4210 0.3546
O3 0.5790 0.5790 0.6454
O4 0.9564 0.9564 0.6757
# - SG: C2/m
# - Calculated volume: 300.55 Å³/cell

=====

Relative energy table, unit eV/atom: one) 0.240; two) 0.000

=====

one) # PmSiO4 PBE optimized geometry
data_PmSiO4
_cell_length_a 4.6647
_cell_length_b 5.1455
_cell_length_c 5.4180
_cell_angle_alpha 90.00
_cell_angle_beta 90.00
_cell_angle_gamma 90.00
_symmetry_space_group_name_H-M 'P 1'
_symmetry_Int_Tables_number 1
_symmetry_space_group_name_Hall 'P 1'
loop_
_atom_site_label
_atom_site_fract_x
_atom_site_fract_y
_atom_site_fract_z
Pm1 0.0000 0.0000 0.0000
Pm2 0.5000 0.0000 0.5000
Si1 0.0000 0.5000 0.5000
Si2 0.5000 0.5000 0.0000
O1 0.0000 0.1996 0.3770
O2 0.0000 0.8004 0.6230
O3 0.2500 0.3715 0.7500
O4 0.2500 0.6285 0.2500
O5 0.5000 0.1996 0.1230
O6 0.5000 0.8004 0.8770
O7 0.7500 0.3715 0.7500
O8 0.7500 0.6285 0.2500
# - SG: Pmna
# - Calculated volume: 130.04 Å³/cell

=====

two) # PmSiO4 PBE optimized geometry
data_PmSiO4
_cell_length_a 6.8030
_cell_length_b 6.8030
_cell_length_c 6.8030
_cell_angle_alpha 136.51
_cell_angle_beta 136.51
_cell_angle_gamma 63.19
_symmetry_space_group_name_H-M 'P 1'
_symmetry_Int_Tables_number 1
_symmetry_space_group_name_Hall 'P 1'
loop_
_atom_site_label
_atom_site_fract_x
_atom_site_fract_y
_atom_site_fract_z
Pm1 0.3750 0.1250 0.2500
Pm2 0.6250 0.8750 0.7500
Si1 0.1250 0.3750 0.7500
Si2 0.8750 0.6250 0.2500
O1 0.0751 0.2002 0.3756
O2 0.1995 0.5751 0.3749
O3 0.2998 0.1755 0.8749
O4 0.3245 0.6995 0.1244
O5 0.6755 0.3005 0.8756
O6 0.7002 0.8245 0.1251
O7 0.8005 0.4249 0.6251
O8 0.9249 0.7998 0.6244
# - SG: I4_1/a
# - Calculated volume: 147.23 Å³/cell

=====

Relative energy table, unit eV/atom: one) 0.262; two) 0.000